The following is a DFT calculation (PBE) of a relaxed structure of Tb3GeP2Ir9.

Calculated volume (Å³ per cell): 282.3
DOS at the Fermi energy (states/eV per cell): 9.5
DFT formation energy (eV/atom): -0.41
Spin magnetization (μB per formula unit): 0.00

Lattice parameters (Å, degrees): 5.6526 5.6526 10.2016 90.00 90.00 120.00
Space group P-3m1 (No. 164)
One atom of each set of equivalent atoms:
Tb  0.0000  0.0000  0.0000 [1 per cell]
Tb  0.3333  0.6667  0.5819 [2 per cell]
Ge  0.0000  0.0000  0.5000 [1 per cell]
P  0.3333  0.6667  0.1606 [2 per cell]
Ir  0.0000  0.5000  0.0000 [3 per cell]
Ir  0.1597  0.3194  0.3076 [6 per cell]

The following is a DFT calculation (PBE) of a relaxed structure of MgCdPd3.

Calculated volume (Å³ per cell): 99.7
DOS at the Fermi energy (states/eV per cell): 1.1
Relative energy among the computed polymorphs (eV/f.u.): 3.55
DFT formation energy (eV/atom): 0.23
Spin magnetization (μB per formula unit): 0.00

Lattice parameters (Å, degrees): 4.637 4.637 4.637 90.00 90.00 90.00
Space group Pm-3m (No. 221)
One atom of each set of equivalent atoms:
Mg  0.000  0.000  0.000 [1 per cell]
Cd  0.500  0.500  0.500 [1 per cell]
Pd  0.000  0.000  0.500 [3 per cell]